{
  "formula": "CdOs2Rh",
  "functional": "meta-GGA SCAN",
  "state": "PBEsol geometry",
  "lattice": [[3.747, 0.000, 0.000], [0.000, 3.747, 0.000], [0.000, 0.000, 4.259]],
  "species": ["Cd", "Os", "Os", "Rh"],
  "frac_coords": [[0.000, 0.000, 0.000], [0.000, 0.500, 0.500], [0.500, 0.000, 0.500], [0.500, 0.500, 0.000]],
  "volume_a3_per_cell": 59.8,
  "crystal_system": "tetragonal",
  "delta_e_f_kj_per_mol_fu": 246,
  "sg": "P4/mmm"
}